The following is a PBE calculation of a geometry-optimized AlBiRu2 structure, from Alexandria via LeMat-Bulk.

* crystal system: cubic

The structure in CIF format:
```
data_AlBiRu2
_cell_length_a 4.517
_cell_length_b 4.517
_cell_length_c 4.517
_cell_angle_alpha 60.00
_cell_angle_beta 60.00
_cell_angle_gamma 60.00
_symmetry_space_group_name_H-M 'P 1'
_symmetry_Int_Tables_number 1
loop_
_symmetry_equiv_pos_as_xyz
'x,y,z'
loop_
_atom_site_label
_atom_site_fract_x
_atom_site_fract_y
_atom_site_fract_z
Ru1 0.250 0.250 0.250
Ru2 0.750 0.750 0.750
Bi1 0.500 0.500 0.500
Al1 0.000 0.000 0.000
```

The following is a PBE calculation of a geometry-optimized Al2SiBiRu structure, from Alexandria via LeMat-Bulk.

* formation energy (no corrections): 1.11 eV per atom
* crystal system: tetragonal

The structure in CIF format:
```
data_Al2SiBiRu
_cell_length_a 4.656
_cell_length_b 5.352
_cell_length_c 4.656
_cell_angle_alpha 90.00
_cell_angle_beta 90.00
_cell_angle_gamma 90.00
_symmetry_space_group_name_H-M 'P 1'
_symmetry_Int_Tables_number 1
loop_
_symmetry_equiv_pos_as_xyz
'x,y,z'
loop_
_atom_site_label
_atom_site_fract_x
_atom_site_fract_y
_atom_site_fract_z
Ru1 0.500 0.500 0.500
Si1 0.000 0.000 0.000
Bi1 0.000 0.500 0.000
Al1 0.000 0.000 0.500
Al2 0.500 0.000 0.000
```

The following is a PBE calculation of a geometry-optimized AlBiTe2Ru structure, from Alexandria via LeMat-Bulk.

* formation energy (no corrections): 1.12 eV per atom
* crystal system: tetragonal

The structure in CIF format:
```
data_AlBiTe2Ru
_cell_length_a 5.176
_cell_length_b 5.231
_cell_length_c 5.176
_cell_angle_alpha 90.00
_cell_angle_beta 90.00
_cell_angle_gamma 90.00
_symmetry_space_group_name_H-M 'P 1'
_symmetry_Int_Tables_number 1
loop_
_symmetry_equiv_pos_as_xyz
'x,y,z'
loop_
_atom_site_label
_atom_site_fract_x
_atom_site_fract_y
_atom_site_fract_z
Ru1 0.500 0.500 0.500
Te1 0.000 0.000 0.500
Te2 0.500 0.000 0.000
Bi1 0.000 0.500 0.000
Al1 0.000 0.000 0.000
```

The following is a PBE calculation of a geometry-optimized Al2BiS structure, from Alexandria via LeMat-Bulk.

* formation energy (no corrections): 0.25 eV per atom
* crystal system: cubic

The structure in CIF format:
```
data_Al2BiS
_cell_length_a 4.931
_cell_length_b 4.931
_cell_length_c 4.931
_cell_angle_alpha 60.00
_cell_angle_beta 60.00
_cell_angle_gamma 60.00
_symmetry_space_group_name_H-M 'P 1'
_symmetry_Int_Tables_number 1
loop_
_symmetry_equiv_pos_as_xyz
'x,y,z'
loop_
_atom_site_label
_atom_site_fract_x
_atom_site_fract_y
_atom_site_fract_z
S1 0.000 0.000 0.000
Bi1 0.500 0.500 0.500
Al1 0.250 0.250 0.250
Al2 0.750 0.750 0.750
```

The following is a PBE calculation of a geometry-optimized AlBiS2 structure, from Alexandria via LeMat-Bulk.

* formation energy (no corrections): -0.60 eV per atom
* crystal system: orthorhombic

The structure in CIF format:
```
data_AlBiS2
_cell_length_a 7.221
_cell_length_b 3.879
_cell_length_c 14.809
_cell_angle_alpha 90.00
_cell_angle_beta 90.00
_cell_angle_gamma 90.00
_symmetry_space_group_name_H-M 'P 1'
_symmetry_Int_Tables_number 1
loop_
_symmetry_equiv_pos_as_xyz
'x,y,z'
loop_
_atom_site_label
_atom_site_fract_x
_atom_site_fract_y
_atom_site_fract_z
S1 0.855 0.250 0.409
S2 0.645 0.750 0.909
S3 0.145 0.750 0.591
S4 0.355 0.250 0.091
S5 0.302 0.250 0.799
S6 0.198 0.750 0.299
S7 0.698 0.750 0.201
S8 0.802 0.250 0.701
Bi1 0.484 0.250 0.420
Bi2 0.016 0.750 0.920
Bi3 0.516 0.750 0.580
Bi4 0.984 0.250 0.080
Al1 0.111 0.250 0.680
Al2 0.389 0.750 0.180
Al3 0.889 0.750 0.320
Al4 0.611 0.250 0.820
```

The following is a PBE calculation of a geometry-optimized AlBiS2 structure, from Alexandria via LeMat-Bulk.

* formation energy (no corrections): -0.57 eV per atom
* crystal system: hexagonal

The structure in CIF format:
```
data_AlBiS2
_cell_length_a 3.485
_cell_length_b 3.485
_cell_length_c 8.497
_cell_angle_alpha 90.00
_cell_angle_beta 90.00
_cell_angle_gamma 120.00
_symmetry_space_group_name_H-M 'P 1'
_symmetry_Int_Tables_number 1
loop_
_symmetry_equiv_pos_as_xyz
'x,y,z'
loop_
_atom_site_label
_atom_site_fract_x
_atom_site_fract_y
_atom_site_fract_z
Al1 0.667 0.333 0.500
Bi1 0.000 0.000 0.000
S1 0.000 0.000 0.332
S2 0.000 0.000 0.668
```

| no. | theoretical density (g/cm3) | VASP energy (eV for the cell shown) |
| --- | --- | --- |
| 1 | 11.2 | -26.240 |
| 2 | 5.6 | -20.519 |
| 3 | 7.0 | -17.589 |
| 4 | 5.8 | -14.511 |
| 5 | 4.8 | -73.041 |
| 6 | 5.6 | -18.176 |